CaLa2Cu | the Alexandria database | PBE | relaxed; ΔE_f = 0.194 eV per atom; size of the total moment = 0.0 μB/f.u.; ρ = 5.26 g cm⁻³
1.0
3.902 0.000 0.000
0.000 5.488 0.000
0.000 0.000 5.626
Ca La Cu
1 2 1
Direct
0.000 0.000 0.000
0.000 0.500 0.500
0.500 0.000 0.500
0.500 0.500 0.000